No. 1
# Nd2BeHPt6, optimized geometry, DFT PBE
data_Nd2BeHPt6
_chemical_formula_sum 'Nd2 Be1 H1 Pt6'
_space_group_name_H-M_alt 'P 1'
_space_group_IT_number 1
_space_group_name_Hall 'P 1'
_cell_length_a 5.7430
_cell_length_b 6.6968
_cell_length_c 6.6933
_cell_angle_alpha 50.91
_cell_angle_beta 64.84
_cell_angle_gamma 90.22
loop_
_atom_site_label
_atom_site_type_symbol
_atom_site_fract_x
_atom_site_fract_y
_atom_site_fract_z
Nd1 Nd 0.7781 0.2228 0.4427
Nd2 Nd 0.2219 0.7772 0.5572
Be1 Be 0.5000 0.5000 0.0000
H1 H 0.0000 0.0000 0.0000
Pt1 Pt 0.2374 0.2756 0.5244
Pt2 Pt 0.7273 0.7637 0.0345
Pt3 Pt 0.2378 0.7635 0.0353
Pt4 Pt 0.7622 0.2365 0.9648
Pt5 Pt 0.2727 0.2363 0.9655
Pt6 Pt 0.7626 0.7244 0.4756
# DFT total energy	-6.07	eV/atom
# crystal system	triclinic
# volume	16.7	A^3/atom

No. 2
# BeNiH2, optimized geometry, DFT PBE
data_BeNiH2
_chemical_formula_sum 'Be1 Ni1 H2'
_space_group_name_H-M_alt 'P 1'
_space_group_IT_number 1
_space_group_name_Hall 'P 1'
_cell_length_a 3.2713
_cell_length_b 3.2713
_cell_length_c 3.2713
_cell_angle_alpha 60.00
_cell_angle_beta 60.00
_cell_angle_gamma 60.00
loop_
_atom_site_label
_atom_site_type_symbol
_atom_site_fract_x
_atom_site_fract_y
_atom_site_fract_z
Ni1 Ni 0.5000 0.5000 0.5000
H1 H 0.2500 0.2500 0.2500
H2 H 0.7500 0.7500 0.7500
Be1 Be 0.0000 0.0000 0.0000
# DFT total energy	-3.62	eV/atom
# crystal system	cubic
# volume	6.2	A^3/atom

No. 3
# BeNi3H, optimized geometry, DFT PBE
data_BeNi3H
_chemical_formula_sum 'Be4 Ni12 H4'
_space_group_name_H-M_alt 'P 1'
_space_group_IT_number 1
_space_group_name_Hall 'P 1'
_cell_length_a 4.9307
_cell_length_b 4.9307
_cell_length_c 8.5355
_cell_angle_alpha 74.47
_cell_angle_beta 74.47
_cell_angle_gamma 60.13
loop_
_atom_site_label
_atom_site_type_symbol
_atom_site_fract_x
_atom_site_fract_y
_atom_site_fract_z
Be1 Be 0.8728 0.3731 0.8766
Be2 Be 0.6269 0.1272 0.6234
Be3 Be 0.1272 0.6269 0.1234
Be4 Be 0.3731 0.8728 0.3766
Ni1 Ni 0.8627 0.8631 0.8633
Ni2 Ni 0.1369 0.1373 0.6367
Ni3 Ni 0.1373 0.1369 0.1367
Ni4 Ni 0.8631 0.8627 0.3633
Ni5 Ni 0.6371 0.6372 0.6366
Ni6 Ni 0.3628 0.3629 0.8634
Ni7 Ni 0.3629 0.3628 0.3634
Ni8 Ni 0.6372 0.6371 0.1366
Ni9 Ni 0.3524 0.8526 0.8971
Ni10 Ni 0.1474 0.6476 0.6029
Ni11 Ni 0.8526 0.3524 0.3971
Ni12 Ni 0.6476 0.1474 0.1029
H1 H 0.0000 0.5000 0.5000
H2 H 0.5000 0.0000 0.0000
H3 H 0.7501 0.2499 0.2500
H4 H 0.2499 0.7501 0.7500
# DFT total energy	-5.05	eV/atom
# crystal system	monoclinic
# volume	8.6	A^3/atom

No. 4
# BeNi4H2, optimized geometry, DFT PBE
data_BeNi4H2
_chemical_formula_sum 'Be2 Ni8 H4'
_space_group_name_H-M_alt 'P 1'
_space_group_IT_number 1
_space_group_name_Hall 'P 1'
_cell_length_a 2.6107
_cell_length_b 4.7643
_cell_length_c 9.2022
_cell_angle_alpha 90.00
_cell_angle_beta 90.00
_cell_angle_gamma 105.90
loop_
_atom_site_label
_atom_site_type_symbol
_atom_site_fract_x
_atom_site_fract_y
_atom_site_fract_z
Be1 Be 0.5966 0.1931 0.7500
Be2 Be 0.4034 0.8069 0.2500
Ni1 Ni 0.7766 0.5532 0.1116
Ni2 Ni 0.7766 0.5532 0.3884
Ni3 Ni 0.2234 0.4468 0.8884
Ni4 Ni 0.2234 0.4468 0.6116
Ni5 Ni 0.9099 0.8198 0.7500
Ni6 Ni 0.0901 0.1802 0.2500
Ni7 Ni 0.5000 0.0000 0.0000
Ni8 Ni 0.5000 0.0000 0.5000
H1 H 0.1293 0.2586 0.4441
H2 H 0.8707 0.7414 0.9441
H3 H 0.1293 0.2586 0.0559
H4 H 0.8707 0.7414 0.5559
# DFT total energy	-4.90	eV/atom
# crystal system	orthorhombic
# volume	7.9	A^3/atom

No. 5
# BeNi5H7, optimized geometry, DFT PBE
data_BeNi5H7
_chemical_formula_sum 'Be2 Ni10 H14'
_space_group_name_H-M_alt 'P 1'
_space_group_IT_number 1
_space_group_name_Hall 'P 1'
_cell_length_a 2.6247
_cell_length_b 4.4656
_cell_length_c 14.5584
_cell_angle_alpha 95.41
_cell_angle_beta 90.00
_cell_angle_gamma 107.09
loop_
_atom_site_label
_atom_site_type_symbol
_atom_site_fract_x
_atom_site_fract_y
_atom_site_fract_z
Be1 Be 0.7891 0.5783 0.2781
Be2 Be 0.2117 0.4234 0.7219
Ni1 Ni 0.0000 0.0000 0.0000
Ni2 Ni 0.7117 0.4234 0.9190
Ni3 Ni 0.2883 0.5766 0.0810
Ni4 Ni 0.5102 0.0204 0.3335
Ni5 Ni 0.4909 0.9818 0.6665
Ni6 Ni 0.0006 0.0012 0.5000
Ni7 Ni 0.2562 0.5125 0.4152
Ni8 Ni 0.7449 0.4897 0.5848
Ni9 Ni 0.4243 0.8487 0.8412
Ni10 Ni 0.5758 0.1516 0.1587
H1 H 0.4251 0.8503 0.2323
H2 H 0.5751 0.1502 0.7679
H3 H 0.6442 0.2884 0.0411
H4 H 0.3556 0.7113 0.9589
H5 H 0.3750 0.7501 0.5374
H6 H 0.6261 0.2522 0.4626
H7 H 0.1935 0.3869 0.1813
H8 H 0.8067 0.6134 0.8186
H9 H 0.8663 0.7326 0.6796
H10 H 0.1348 0.2696 0.3204
H11 H 0.9267 0.8534 0.1069
H12 H 0.0733 0.1465 0.8931
H13 H 0.1114 0.2229 0.6064
H14 H 0.8897 0.7795 0.3936
# DFT total energy	-4.32	eV/atom
# crystal system	monoclinic
# volume	6.2	A^3/atom

No. 6
# BeNi4H, optimized geometry, DFT PBE
data_BeNi4H
_chemical_formula_sum 'Be2 Ni8 H2'
_space_group_name_H-M_alt 'P 1'
_space_group_IT_number 1
_space_group_name_Hall 'P 1'
_cell_length_a 5.0233
_cell_length_b 4.4398
_cell_length_c 5.8711
_cell_angle_alpha 108.20
_cell_angle_beta 111.69
_cell_angle_gamma 98.85
loop_
_atom_site_label
_atom_site_type_symbol
_atom_site_fract_x
_atom_site_fract_y
_atom_site_fract_z
Be1 Be 0.3761 0.6261 0.2521
Be2 Be 0.6239 0.3739 0.7479
Ni1 Ni 0.9335 0.2996 0.0898
Ni2 Ni 0.6563 0.7902 0.0898
Ni3 Ni 0.3176 0.6267 0.6049
Ni4 Ni 0.6824 0.3733 0.3951
Ni5 Ni 0.2127 0.0218 0.3951
Ni6 Ni 0.3437 0.2098 0.9102
Ni7 Ni 0.7873 0.9782 0.6049
Ni8 Ni 0.0665 0.7004 0.9102
H1 H 0.0841 0.8341 0.6683
H2 H 0.9159 0.1659 0.3317
# DFT total energy	-5.05	eV/atom
# crystal system	monoclinic
# volume	9.2	A^3/atom

No. 7
# BeNi3H, optimized geometry, DFT PBE
data_BeNi3H
_chemical_formula_sum 'Be1 Ni3 H1'
_space_group_name_H-M_alt 'P 1'
_space_group_IT_number 1
_space_group_name_Hall 'P 1'
_cell_length_a 3.5035
_cell_length_b 3.5035
_cell_length_c 3.5035
_cell_angle_alpha 90.00
_cell_angle_beta 90.00
_cell_angle_gamma 90.00
loop_
_atom_site_label
_atom_site_type_symbol
_atom_site_fract_x
_atom_site_fract_y
_atom_site_fract_z
Ni1 Ni 0.0000 0.5000 0.0000
Ni2 Ni 0.0000 0.0000 0.5000
Ni3 Ni 0.5000 0.0000 0.0000
H1 H 0.0000 0.0000 0.0000
Be1 Be 0.5000 0.5000 0.5000
# DFT total energy	-5.04	eV/atom
# crystal system	cubic
# volume	8.6	A^3/atom

No. 8
# BeNiH3, optimized geometry, DFT PBE
data_BeNiH3
_chemical_formula_sum 'Be1 Ni1 H3'
_space_group_name_H-M_alt 'P 1'
_space_group_IT_number 1
_space_group_name_Hall 'P 1'
_cell_length_a 3.0830
_cell_length_b 3.0830
_cell_length_c 3.0830
_cell_angle_alpha 90.00
_cell_angle_beta 90.00
_cell_angle_gamma 90.00
loop_
_atom_site_label
_atom_site_type_symbol
_atom_site_fract_x
_atom_site_fract_y
_atom_site_fract_z
Ni1 Ni 0.5000 0.5000 0.5000
H1 H 0.0000 0.5000 0.0000
H2 H 0.0000 0.0000 0.5000
H3 H 0.5000 0.0000 0.0000
Be1 Be 0.0000 0.0000 0.0000
# DFT total energy	-3.44	eV/atom
# crystal system	cubic
# volume	5.9	A^3/atom